1.
{"formula": "KPbBr2", "functional": "PBE-GGA", "state": "optimized geometry", "lattice": [[-2.823, 1.427, 4.672], [-5.506, -1.153, 0.432], [-1.773, -4.003, 3.558]], "species": ["Pb", "K", "Br", "Br"], "fractional_positions": [[0.500, 0.500, 0.500], [0.000, 0.000, 0.000], [0.250, 0.250, 0.250], [0.750, 0.750, 0.750]], "crystal_system": "cubic", "magnetic_moment_mub_per_cell": 0.0, "dft_energy_ev_per_atom": -2.88, "relative_energy_mev_per_atom": 198, "volume_a3_per_cell": 127.0, "e_form_raw_kj_per_mol_atoms": -81.69}

=====

2.
{"formula": "K12Pb3Br5", "functional": "PBE-GGA", "state": "optimized geometry", "lattice": [[-2.171, 17.274, 1.241], [-8.914, -7.915, 12.750], [16.958, -3.855, 1.497]], "species": ["Pb", "Pb", "Pb", "Pb", "Pb", "Pb", "Pb", "Pb", "Pb", "Pb", "Pb", "Pb", "Br", "Br", "Br", "Br", "Br", "Br", "Br", "Br", "Br", "Br", "Br", "Br", "Br", "Br", "Br", "Br", "Br", "Br", "Br", "Br", "K", "K", "K", "K", "K", "K", "K", "K", "K", "K", "K", "K", "K", "K", "K", "K", "K", "K", "K", "K", "K", "K", "K", "K", "K", "K", "K", "K", "K", "K", "K", "K", "K", "K", "K", "K", "K", "K", "K", "K", "K", "K", "K", "K", "K", "K", "K", "K"], "fractional_positions": [[0.750, 0.375, 0.125], [0.875, 0.750, 0.125], [0.375, 0.750, 0.625], [0.250, 0.125, 0.375], [0.875, 0.125, 0.250], [0.375, 0.625, 0.250], [0.625, 0.375, 0.750], [0.125, 0.875, 0.750], [0.750, 0.875, 0.625], [0.625, 0.250, 0.375], [0.125, 0.250, 0.875], [0.250, 0.625, 0.875], [0.125, 0.375, 0.250], [0.000, 0.500, 0.000], [0.000, 0.000, 0.000], [0.375, 0.250, 0.125], [0.500, 0.000, 0.500], [0.500, 0.500, 0.000], [0.125, 0.750, 0.375], [0.750, 0.125, 0.875], [0.750, 0.625, 0.375], [0.375, 0.125, 0.750], [0.625, 0.875, 0.250], [0.500, 0.500, 0.500], [0.500, 0.000, 0.000], [0.000, 0.000, 0.500], [0.250, 0.375, 0.625], [0.250, 0.875, 0.125], [0.000, 0.500, 0.500], [0.875, 0.250, 0.625], [0.625, 0.750, 0.875], [0.875, 0.625, 0.750], [0.717, 0.132, 0.045], [0.328, 0.545, 0.413], [0.955, 0.368, 0.283], [0.545, 0.217, 0.132], [0.586, 0.717, 0.672], [0.955, 0.587, 0.172], [0.328, 0.783, 0.414], [0.087, 0.914, 0.132], [0.587, 0.955, 0.672], [0.717, 0.586, 0.172], [0.783, 0.455, 0.368], [0.828, 0.913, 0.045], [0.132, 0.717, 0.545], [0.368, 0.413, 0.086], [0.086, 0.913, 0.368], [0.414, 0.132, 0.587], [0.086, 0.172, 0.217], [0.455, 0.672, 0.087], [0.828, 0.914, 0.283], [0.132, 0.414, 0.087], [0.368, 0.955, 0.783], [0.587, 0.632, 0.414], [0.913, 0.828, 0.545], [0.783, 0.328, 0.914], [0.413, 0.368, 0.586], [0.087, 0.172, 0.455], [0.217, 0.672, 0.086], [0.172, 0.086, 0.717], [0.632, 0.045, 0.217], [0.868, 0.586, 0.913], [0.545, 0.328, 0.913], [0.586, 0.868, 0.413], [0.914, 0.828, 0.783], [0.914, 0.087, 0.632], [0.868, 0.283, 0.455], [0.172, 0.087, 0.955], [0.632, 0.587, 0.914], [0.413, 0.045, 0.328], [0.283, 0.414, 0.828], [0.217, 0.545, 0.632], [0.913, 0.086, 0.868], [0.672, 0.217, 0.586], [0.455, 0.783, 0.868], [0.045, 0.413, 0.828], [0.414, 0.283, 0.328], [0.045, 0.632, 0.717], [0.672, 0.455, 0.587], [0.283, 0.868, 0.955]], "crystal_system": "cubic", "magnetic_moment_mub_per_cell": 20.3, "dft_energy_ev_per_atom": -2.42, "volume_a3_per_cell": 4093.6, "e_form_raw_kj_per_mol_atoms": -76.39}

=====

3.
{"formula": "KPbBr2", "functional": "PBE-GGA", "state": "optimized geometry", "lattice": [[6.082, 0.000, 0.000], [0.000, 3.803, -0.125], [0.000, 0.222, 6.076]], "species": ["Br", "Br", "K", "Pb"], "fractional_positions": [[0.000, 0.997, 0.875], [0.500, 0.007, 0.375], [0.000, 0.501, 0.375], [0.500, 0.995, 0.875]], "crystal_system": "monoclinic", "magnetic_moment_mub_per_cell": 0.0, "dft_energy_ev_per_atom": -3.08, "relative_energy_mev_per_atom": 0, "volume_a3_per_cell": 140.7, "e_form_raw_kj_per_mol_atoms": -100.80}

=====

4.
{"formula": "KPb2Br", "functional": "PBE-GGA", "state": "optimized geometry", "lattice": [[5.589, -0.040, 0.000], [-0.472, 5.569, 0.000], [-2.559, -2.765, 4.129]], "species": ["Br", "K", "Pb", "Pb"], "fractional_positions": [[0.500, 0.500, 0.000], [0.750, 0.250, 0.500], [0.000, 0.000, 0.000], [0.250, 0.750, 0.500]], "crystal_system": "tetragonal", "magnetic_moment_mub_per_cell": 0.0, "dft_energy_ev_per_atom": -2.89, "relative_energy_mev_per_atom": 238, "volume_a3_per_cell": 128.5, "e_form_raw_kj_per_mol_atoms": -32.67}

=====

5.
{"formula": "KPb2Br", "functional": "PBE-GGA", "state": "optimized geometry", "lattice": [[6.899, -0.002, 0.000], [-3.926, 5.673, 0.000], [0.000, 0.000, 3.513]], "species": ["Br", "K", "Pb", "Pb"], "fractional_positions": [[0.500, 0.000, 0.500], [0.000, 0.500, 0.500], [0.000, 0.000, 0.000], [0.500, 0.500, 0.000]], "crystal_system": "orthorhombic", "magnetic_moment_mub_per_cell": 0.0, "dft_energy_ev_per_atom": -2.79, "relative_energy_mev_per_atom": 331, "volume_a3_per_cell": 137.5, "e_form_raw_kj_per_mol_atoms": -23.68}

=====

6.
{"formula": "K2PbBr", "functional": "PBE-GGA", "state": "optimized geometry", "lattice": [[-0.435, 7.280, -7.615], [-4.315, 5.800, -7.676], [-3.254, 8.732, -4.933]], "species": ["Br", "K", "K", "Pb"], "fractional_positions": [[0.750, 0.750, 0.750], [0.013, 0.013, 0.013], [0.487, 0.487, 0.487], [0.250, 0.250, 0.250]], "crystal_system": "trigonal", "magnetic_moment_mub_per_cell": 0.5, "dft_energy_ev_per_atom": -2.66, "relative_energy_mev_per_atom": 42, "volume_a3_per_cell": 153.4, "e_form_raw_kj_per_mol_atoms": -74.28}

=====

7.
{"formula": "K3PbBr", "functional": "PBE-GGA", "state": "optimized geometry", "lattice": [[6.220, 0.000, 0.000], [0.000, 6.220, 0.000], [0.000, 0.000, 6.220]], "species": ["Pb", "K", "K", "K", "Br"], "fractional_positions": [[0.500, 0.500, 0.500], [0.000, 0.500, 0.000], [0.000, 0.000, 0.500], [0.500, 0.000, 0.000], [0.000, 0.000, 0.000]], "crystal_system": "cubic", "magnetic_moment_mub_per_cell": 0.5, "dft_energy_ev_per_atom": -2.30, "relative_energy_mev_per_atom": 0, "volume_a3_per_cell": 240.6, "e_form_raw_kj_per_mol_atoms": -54.12}

=====

8.
{"formula": "KPbBr2", "functional": "PBE-GGA", "state": "optimized geometry", "lattice": [[6.414, 0.000, 0.000], [0.000, 6.414, 0.000], [3.207, 3.207, 8.876]], "species": ["Pb", "Pb", "K", "K", "Br", "Br", "Br", "Br"], "fractional_positions": [[0.000, 0.000, 0.000], [0.750, 0.250, 0.500], [0.500, 0.500, 0.000], [0.250, 0.750, 0.500], [0.651, 0.125, 0.250], [0.099, 0.625, 0.250], [0.375, 0.349, 0.750], [0.875, 0.901, 0.750]], "crystal_system": "tetragonal", "magnetic_moment_mub_per_cell": 0.0, "dft_energy_ev_per_atom": -2.89, "relative_energy_mev_per_atom": 197, "volume_a3_per_cell": 365.2, "e_form_raw_kj_per_mol_atoms": -81.77}

=====

9.
{"formula": "K2PbBr", "functional": "PBE-GGA", "state": "optimized geometry", "lattice": [[3.969, 0.000, 0.000], [0.000, 3.975, 0.000], [0.000, 0.000, 10.842]], "species": ["Br", "K", "K", "Pb"], "fractional_positions": [[0.500, 0.500, 0.956], [0.000, 0.000, 0.818], [0.500, 0.500, 0.245], [0.000, 0.000, 0.481]], "crystal_system": "tetragonal", "magnetic_moment_mub_per_cell": 0.0, "dft_energy_ev_per_atom": -2.58, "relative_energy_mev_per_atom": 123, "volume_a3_per_cell": 171.0, "e_form_raw_kj_per_mol_atoms": -66.41}

=====

10.
{"formula": "KPbBr2", "functional": "PBE-GGA", "state": "optimized geometry", "lattice": [[-2.701, -2.513, 1.366], [3.366, -1.902, -0.728], [2.775, 1.650, 8.520]], "species": ["Br", "Br", "K", "Pb"], "fractional_positions": [[0.000, 0.000, 0.009], [0.000, 0.000, 0.491], [0.500, 0.500, 0.250], [0.500, 0.500, 0.750]], "crystal_system": "orthorhombic", "magnetic_moment_mub_per_cell": 0.0, "dft_energy_ev_per_atom": -2.99, "relative_energy_mev_per_atom": 94, "volume_a3_per_cell": 132.5, "e_form_raw_kj_per_mol_atoms": -91.75}

=====

11.
{"formula": "KPbBr2", "functional": "PBE-GGA", "state": "optimized geometry", "lattice": [[-7.392, -6.351, 3.306], [-4.013, -8.928, 3.176], [-4.651, -6.428, 6.554]], "species": ["Pb", "K", "Br", "Br"], "fractional_positions": [[0.000, 0.000, 0.000], [0.500, 0.500, 0.500], [0.903, 0.903, 0.903], [0.097, 0.097, 0.097]], "crystal_system": "trigonal", "magnetic_moment_mub_per_cell": 0.0, "dft_energy_ev_per_atom": -2.99, "relative_energy_mev_per_atom": 95, "volume_a3_per_cell": 156.4, "e_form_raw_kj_per_mol_atoms": -91.60}

=====

12.
{"formula": "K2PbBr", "functional": "PBE-GGA", "state": "optimized geometry", "lattice": [[10.827, -0.002, 0.034], [10.170, 3.713, 0.034], [1.364, 0.241, 3.605]], "species": ["Br", "K", "K", "Pb"], "fractional_positions": [[0.312, 0.312, 0.001], [0.917, 0.917, 0.292], [0.714, 0.714, 0.696], [0.557, 0.557, 0.511]], "crystal_system": "orthorhombic", "magnetic_moment_mub_per_cell": 0.0, "dft_energy_ev_per_atom": -2.68, "relative_energy_mev_per_atom": 27, "volume_a3_per_cell": 144.8, "e_form_raw_kj_per_mol_atoms": -75.70}